First-principles (PBE) data for crystalline AcGa3Ni at its relaxed geometry, as listed in Alexandria via LeMat-Bulk.

The space group is I4mm (No. 107) and the conventional cell measures 4.416, 4.416 and 10.376 Å, with angles of 90.00, 90.00 and 90.00 degrees. The inequivalent atoms are Ac at (0.000, 0.000, 0.000), Ga at (0.000, 0.000, 0.406), Ga at (0.000, 0.500, 0.246) and Ni at (0.000, 0.000, 0.640).

For the formation energy, the calculation gives -0.57 eV per atom. For the relative energy among the computed polymorphs, the calculation gives 0.00 eV/f.u. The calculation puts the total energy at -4.364 eV per atom. The value obtained for the density of states at the Fermi level is 0.558 states/eV/atom.